VASP calculation (PBE) on a relaxed MnPSeS2 crystal.

POSCAR file:
```
MnPSeS2
1.0
4.2462 0.0000 0.0000
0.0000 4.2462 0.0000
0.0000 0.0000 4.8815
Mn P Se S
1 1 1 2
Cartesian
0.0000 0.0000 0.0000 Mn
0.0000 0.0000 2.4408 P
2.1231 2.1231 2.4408 Se
0.0000 2.1231 0.0000 S
2.1231 0.0000 0.0000 S
```

Values from the calculation:
relative energy among the computed polymorphs = 0.000 eV/f.u.
E_form (uncorrected) = 2.17 eV per formula unit
density of states at the Fermi level = 4.63 states/eV/cell